## A
This record from the Alexandria database describes crystalline SrCrAs2 at its relaxed geometry. The functional is PBE.

a b c (Å): 7.042 7.042 7.042
angles (deg): 32.81 32.81 32.81
Last column: magnetic moment on the atom in μB.
Atoms (fractional coordinates):
Cr: 0.580 0.580 0.580  2.78
Sr: 0.754 0.754 0.754  -0.01
As: 0.976 0.976 0.976  -0.14
As: 0.191 0.191 0.191  -0.14

---

## B
This record from the Alexandria database describes crystalline SrCrAs2 at its relaxed geometry. The functional is PBE.

a b c (Å): 4.714 4.714 4.035
angles (deg): 90.00 90.00 90.00
Last column: magnetic moment on the atom in μB.
Atoms (fractional coordinates):
Sr: 0.000 0.500 0.500  0.04
Cr: 0.500 0.000 0.500  3.87
As: 0.500 0.500 0.000  -0.06
As: 0.000 0.000 0.000  -0.06

---

## C
This record from the Alexandria database describes crystalline SrCrAs2 at its relaxed geometry. The functional is PBE.

a b c (Å): 5.231 5.231 5.231
angles (deg): 132.14 107.91 91.23
Last column: magnetic moment on the atom in μB.
Atoms (fractional coordinates):
As: 0.939 0.939 0.000  -0.16
As: 0.561 0.561 0.000  -0.16
Sr: 0.250 0.750 0.500  -0.01
Cr: 0.750 0.250 0.500  3.21

---

## D
This record from the Alexandria database describes crystalline SrCrAs2 at its relaxed geometry. The functional is PBE.

a b c (Å): 5.043 5.043 5.043
angles (deg): 60.00 60.00 60.00
Last column: magnetic moment on the atom in μB.
Atoms (fractional coordinates):
Cr: 0.500 0.500 0.500  3.92
Sr: 0.750 0.750 0.750  0.06
As: 0.250 0.250 0.250  -0.12
As: 0.000 0.000 0.000  -0.10

---

Best to worst by energy: A, C, B, D.

---

## A
This record from the Alexandria database describes crystalline SrCrAs2 at its relaxed geometry. The functional is PBE.

a b c (Å): 4.818 4.818 3.924
angles (deg): 90.00 90.00 100.51
Last column: magnetic moment on the atom in μB.
Atoms (fractional coordinates):
As: 0.000 0.000 0.000  -0.12
As: 0.500 0.500 0.000  -0.12
Sr: 0.000 0.500 0.500  0.03
Cr: 0.500 0.000 0.500  3.81

---

## B
This record from the Alexandria database describes crystalline SrCrAs2 at its relaxed geometry. The functional is PBE.

a b c (Å): 6.197 6.197 4.437
angles (deg): 79.22 79.22 38.96
Last column: magnetic moment on the atom in μB.
Atoms (fractional coordinates):
As: 0.814 0.814 0.740  -0.03
As: 0.013 0.013 0.875  -0.10
Cr: 0.456 0.456 0.617  3.56
Sr: 0.218 0.218 0.268  0.03

---

Best to worst by energy: B, A.

---

## A
This record from the Alexandria database describes crystalline SrCrAs2 at its relaxed geometry. The functional is PBE.

a b c (Å): 4.985 4.985 4.985
angles (deg): 60.00 60.00 60.00
Last column: magnetic moment on the atom in μB.
Atoms (fractional coordinates):
As: 0.250 0.250 0.250  -0.24
As: 0.750 0.750 0.750  -0.24
Cr: 0.000 0.000 0.000  3.48
Sr: 0.500 0.500 0.500  -0.04

---

## B
This record from the Alexandria database describes crystalline SrCrAs2 at its relaxed geometry. The functional is PBE.

a b c (Å): 3.742 3.321 7.261
angles (deg): 78.80 90.00 90.00
Last column: magnetic moment on the atom in μB.
Atoms (fractional coordinates):
As: 0.000 0.420 0.460  -0.13
As: 0.000 0.080 0.040  -0.13
Cr: 0.500 0.250 0.250  3.13
Sr: 0.500 0.750 0.750  -0.01

---

## C
This record from the Alexandria database describes crystalline SrCrAs2 at its relaxed geometry. The functional is PBE.

a b c (Å): 5.895 5.895 5.895
angles (deg): 138.37 138.37 60.34
Last column: magnetic moment on the atom in μB.
Atoms (fractional coordinates):
Sr: 0.750 0.250 0.500  0.00
As: 0.250 0.750 0.500  -0.12
As: 0.000 0.000 0.000  -0.15
Cr: 0.500 0.500 0.000  3.72

---

Best to worst by energy: B, A, C.

---

## A
This record from the Alexandria database describes crystalline SrCrAs2 at its relaxed geometry. The functional is PBE.

a b c (Å): 5.430 5.430 8.205
angles (deg): 70.67 70.67 90.00
Atoms (fractional coordinates):
Cr: 0.250 0.750 0.500
Cr: 0.500 0.500 0.000
Sr: 0.750 0.250 0.500
Sr: 0.000 0.000 0.000
As: 0.377 0.125 0.250
As: 0.375 0.623 0.750
As: 0.875 0.627 0.750
As: 0.373 0.625 0.250

---

## B
This record from the Alexandria database describes crystalline SrCrAs2 at its relaxed geometry. The functional is PBE.

a b c (Å): 7.509 7.509 7.509
angles (deg): 152.85 152.10 39.32
Last column: magnetic moment on the atom in μB.
Atoms (fractional coordinates):
Cr: 0.547 0.547 0.000  2.69
As: 0.982 0.982 0.000  -0.19
As: 0.671 0.171 0.500  -0.15
Sr: 0.300 0.800 0.500  -0.02

---

## C
This record from the Alexandria database describes crystalline SrCrAs2 at its relaxed geometry. The functional is PBE.

a b c (Å): 6.869 6.869 6.869
angles (deg): 33.98 33.98 33.98
Last column: magnetic moment on the atom in μB.
Atoms (fractional coordinates):
As: 0.524 0.524 0.524  -0.15
As: 0.976 0.976 0.976  -0.15
Sr: 0.750 0.750 0.750  -0.03
Cr: 0.250 0.250 0.250  2.81

---

Best to worst by energy: C, B, A.

---

## A
This record from the Alexandria database describes crystalline SrCrAs2 at its relaxed geometry. The functional is PBE.

a b c (Å): 3.644 3.644 7.461
angles (deg): 90.00 90.00 90.00
Last column: magnetic moment on the atom in μB.
Atoms (fractional coordinates):
Cr: 0.000 0.000 0.336  2.92
Sr: 0.500 0.500 0.787  -0.02
As: 0.500 0.500 0.368  -0.23
As: 0.000 0.000 0.010  -0.16

---

## B
This record from the Alexandria database describes crystalline SrCrAs2 at its relaxed geometry. The functional is PBE.

a b c (Å): 3.193 3.194 7.411
angles (deg): 90.00 90.00 90.00
Atoms (fractional coordinates):
Cr: 0.500 0.500 0.250
Sr: 0.500 0.500 0.750
As: 0.000 0.000 0.061
As: 0.000 0.000 0.439

---

Best to worst by energy: B, A.

---

## A
This record from the Alexandria database describes crystalline SrCrAs3 at its relaxed geometry. The functional is PBE.

a b c (Å): 5.455 5.455 5.455
angles (deg): 90.00 90.00 90.00
Last column: magnetic moment on the atom in μB.
Atoms (fractional coordinates):
Sr: 0.000 0.000 0.000  0.01
As: 0.500 0.000 0.000  0.01
As: 0.000 0.000 0.500  0.05
As: 0.000 0.500 0.000  0.04
Cr: 0.500 0.500 0.500  -0.71

---

## B
This record from the Alexandria database describes crystalline SrCrAs3 at its relaxed geometry. The functional is PBE.

a b c (Å): 4.805 4.805 4.805
angles (deg): 90.00 90.00 90.00
Atoms (fractional coordinates):
As: 0.500 0.000 0.000
As: 0.000 0.500 0.000
As: 0.000 0.000 0.500
Cr: 0.000 0.000 0.000
Sr: 0.500 0.500 0.500

---

Best to worst by energy: B, A.